{"formula": "Dy4Tl5Ag2", "functional": "PBE", "state": "optimized geometry", "formation_enthalpy_0k_ev_per_fu": -2.9, "space_group": "P2/m, No. 10", "crystal_system": "monoclinic", "cell": [[8.175, 0.000, 0.000], [0.000, 3.631, 0.000], [-0.248, 0.000, 9.778]], "species": ["Dy", "Dy", "Dy", "Dy", "Tl", "Tl", "Tl", "Tl", "Tl", "Ag", "Ag"], "frac_coords": [[0.211, 0.000, 0.359], [0.233, 0.000, 0.905], [0.767, 0.000, 0.095], [0.789, 0.000, 0.641], [0.133, 0.500, 0.630], [0.448, 0.500, 0.159], [0.500, 0.500, 0.500], [0.552, 0.500, 0.841], [0.867, 0.500, 0.370], [0.081, 0.500, 0.127], [0.919, 0.500, 0.873]]}


{"formula": "Tb5Pm3Tm2", "functional": "PBE", "state": "optimized geometry", "formation_enthalpy_0k_ev_per_fu": 1.9, "space_group": "C2/c, No. 15", "crystal_system": "monoclinic", "cell": [[5.369, -7.903, 0.000], [5.369, 7.903, 0.000], [-5.321, 0.000, 7.818]], "species": ["Tb", "Tb", "Tb", "Tb", "Tb", "Tb", "Tb", "Tb", "Tb", "Tb", "Pm", "Pm", "Pm", "Pm", "Pm", "Pm", "Tm", "Tm", "Tm", "Tm"], "frac_coords": [[0.027, 0.973, 0.750], [0.153, 0.378, 0.776], [0.272, 0.728, 0.250], [0.378, 0.153, 0.276], [0.469, 0.531, 0.250], [0.531, 0.469, 0.750], [0.622, 0.847, 0.724], [0.728, 0.272, 0.750], [0.847, 0.622, 0.224], [0.973, 0.027, 0.250], [0.018, 0.266, 0.045], [0.233, 0.767, 0.750], [0.266, 0.018, 0.545], [0.734, 0.982, 0.455], [0.767, 0.233, 0.250], [0.982, 0.734, 0.955], [0.228, 0.463, 0.453], [0.463, 0.228, 0.953], [0.537, 0.772, 0.047], [0.772, 0.537, 0.547]]}


{"formula": "PuBi2S4", "functional": "PBE", "state": "optimized geometry", "e_tot_ev_per_atom": -6.21, "space_group": "R-3m, No. 166", "crystal_system": "trigonal", "cell": [[2.048, 1.182, 13.448], [-2.048, 1.182, 13.448], [0.000, -2.365, 13.448]], "species": ["Pu", "Bi", "Bi", "S", "S", "S", "S"], "frac_coords": [[0.000, 0.000, 0.000], [0.421, 0.421, 0.421], [0.579, 0.579, 0.579], [0.122, 0.122, 0.122], [0.295, 0.295, 0.295], [0.705, 0.705, 0.705], [0.878, 0.878, 0.878]]}


{"formula": "Tb8CdHg2", "functional": "PBE", "state": "optimized geometry", "formation_enthalpy_0k_ev_per_fu": -1.1, "space_group": "C2/m, No. 12", "crystal_system": "monoclinic", "cell": [[4.388, -7.344, 0.000], [4.388, 7.344, 0.000], [-2.020, 0.000, 5.125]], "species": ["Tb", "Tb", "Tb", "Tb", "Tb", "Tb", "Tb", "Tb", "Cd", "Hg", "Hg"], "frac_coords": [[0.095, 0.324, 0.607], [0.221, 0.779, 0.000], [0.324, 0.095, 0.607], [0.397, 0.397, 0.198], [0.603, 0.603, 0.802], [0.676, 0.905, 0.393], [0.779, 0.221, 0.000], [0.905, 0.676, 0.393], [0.000, 0.000, 0.000], [0.305, 0.695, 0.500], [0.695, 0.305, 0.500]]}


{"formula": "ScCuH3", "functional": "PBE", "state": "optimized geometry", "e_tot_ev_per_atom": -4.24, "space_group": "Pm-3m, No. 221", "crystal_system": "cubic", "cell": [[3.455, 0.000, 0.000], [0.000, 3.455, 0.000], [0.000, 0.000, 3.455]], "species": ["Sc", "Cu", "H", "H", "H"], "frac_coords": [[0.000, 0.000, 0.000], [0.500, 0.500, 0.500], [0.000, 0.500, 0.500], [0.500, 0.000, 0.500], [0.500, 0.500, 0.000]]}


{"formula": "Cs2PdRh", "functional": "PBE", "state": "optimized geometry", "formation_enthalpy_0k_ev_per_fu": 3.5, "space_group": "Fm-3m, No. 225", "crystal_system": "cubic", "cell": [[0.000, 3.907, 3.907], [3.907, 0.000, 3.907], [3.907, 3.907, 0.000]], "species": ["Cs", "Cs", "Pd", "Rh"], "frac_coords": [[0.250, 0.250, 0.250], [0.750, 0.750, 0.750], [0.000, 0.000, 0.000], [0.500, 0.500, 0.500]]}


{"formula": "MnGa2Ag", "functional": "PBE", "state": "optimized geometry", "formation_enthalpy_0k_ev_per_fu": -0.1, "space_group": "P4/mmm, No. 123", "crystal_system": "tetragonal", "cell": [[2.770, 0.000, 0.000], [0.000, 2.770, 0.000], [0.000, 0.000, 7.979]], "species": ["Mn", "Ga", "Ga", "Ag"], "frac_coords": [[0.000, 0.000, 0.000], [0.500, 0.500, 0.219], [0.500, 0.500, 0.781], [0.000, 0.000, 0.500]]}


{"formula": "Be2SbPt", "functional": "PBE", "state": "optimized geometry", "e_tot_ev_per_atom": -4.48, "space_group": "Imm2, No. 44", "crystal_system": "orthorhombic", "cell": [[-1.424, 1.888, 5.958], [1.424, -1.888, 5.958], [1.424, 1.888, -5.958]], "species": ["Be", "Be", "Sb", "Pt"], "frac_coords": [[0.000, 0.000, 0.000], [0.645, 0.145, 0.500], [0.378, 0.378, 0.000], [0.156, 0.656, 0.500]]}


{"formula": "CoCu6Pd8", "functional": "PBE", "state": "optimized geometry", "formation_enthalpy_0k_ev_per_fu": 1.6, "space_group": "P-3, No. 147", "crystal_system": "trigonal", "cell": [[9.522, 0.000, 0.000], [-4.761, 8.246, 0.000], [0.000, 0.000, 2.776]], "species": ["Co", "Cu", "Cu", "Cu", "Cu", "Cu", "Cu", "Pd", "Pd", "Pd", "Pd", "Pd", "Pd", "Pd", "Pd"], "frac_coords": [[0.000, 0.000, 0.000], [0.089, 0.612, 0.754], [0.388, 0.477, 0.754], [0.477, 0.089, 0.246], [0.523, 0.911, 0.754], [0.612, 0.523, 0.246], [0.911, 0.388, 0.246], [0.081, 0.295, 0.741], [0.214, 0.919, 0.741], [0.295, 0.214, 0.259], [0.333, 0.667, 0.254], [0.667, 0.333, 0.746], [0.705, 0.786, 0.741], [0.786, 0.081, 0.259], [0.919, 0.705, 0.259]]}


{"formula": "Pa2As2PtN2", "functional": "PBE", "state": "optimized geometry", "e_tot_ev_per_atom": -8.04, "space_group": "P-3m1, No. 164", "crystal_system": "trigonal", "cell": [[3.855, 0.000, 0.000], [-1.927, 3.338, 0.000], [0.000, 0.000, 11.553]], "species": ["Pa", "Pa", "As", "As", "Pt", "N", "N"], "frac_coords": [[0.333, 0.667, 0.128], [0.667, 0.333, 0.872], [0.000, 0.000, 0.297], [0.000, 0.000, 0.703], [0.000, 0.000, 0.500], [0.333, 0.667, 0.927], [0.667, 0.333, 0.073]]}


{"formula": "Ac2Nd5Sm6", "functional": "PBE", "state": "optimized geometry", "formation_enthalpy_0k_ev_per_fu": 1.3, "space_group": "Pbam, No. 55", "crystal_system": "orthorhombic", "cell": [[12.156, 0.000, 0.000], [0.000, 20.980, 0.000], [0.000, 0.000, 3.714]], "species": ["Ac", "Ac", "Ac", "Ac", "Nd", "Nd", "Nd", "Nd", "Nd", "Nd", "Nd", "Nd", "Nd", "Nd", "Sm", "Sm", "Sm", "Sm", "Sm", "Sm", "Sm", "Sm", "Sm", "Sm", "Sm", "Sm"], "frac_coords": [[0.168, 0.222, 0.000], [0.332, 0.722, 0.000], [0.668, 0.278, 0.000], [0.832, 0.778, 0.000], [0.000, 0.500, 0.500], [0.091, 0.784, 0.500], [0.202, 0.054, 0.500], [0.298, 0.554, 0.500], [0.409, 0.284, 0.500], [0.500, 0.000, 0.500], [0.591, 0.716, 0.500], [0.702, 0.446, 0.500], [0.798, 0.946, 0.500], [0.909, 0.216, 0.500], [0.060, 0.926, 0.000], [0.072, 0.638, 0.000], [0.184, 0.379, 0.500], [0.316, 0.879, 0.500], [0.428, 0.138, 0.000], [0.440, 0.426, 0.000], [0.560, 0.574, 0.000], [0.572, 0.862, 0.000], [0.684, 0.121, 0.500], [0.816, 0.621, 0.500], [0.928, 0.362, 0.000], [0.940, 0.074, 0.000]]}


{"formula": "Tb3Pm3Ho5", "functional": "PBE", "state": "optimized geometry", "formation_enthalpy_0k_ev_per_fu": 8.9, "space_group": "P-62m, No. 189", "crystal_system": "hexagonal", "cell": [[9.636, 0.000, 0.000], [-4.818, 8.345, 0.000], [0.000, 0.000, 5.479]], "species": ["Tb", "Tb", "Tb", "Pm", "Pm", "Pm", "Ho", "Ho", "Ho", "Ho", "Ho"], "frac_coords": [[0.000, 0.449, 0.000], [0.449, 0.000, 0.000], [0.551, 0.551, 0.000], [0.000, 0.634, 0.500], [0.366, 0.366, 0.500], [0.634, 0.000, 0.500], [0.000, 0.268, 0.500], [0.268, 0.000, 0.500], [0.333, 0.667, 0.500], [0.667, 0.333, 0.500], [0.732, 0.732, 0.500]]}